Record 1
Crystalline TbTm3Cd6 at its relaxed geometry, computed with PBE.

Structure (POSCAR):
```
TbTm3Cd6
1.0
9.106 0.000 0.000
0.000 5.128 0.000
-2.969 0.000 10.564
Tb Tm Cd
2 6 12
Cartesian
-0.651 1.282 4.139
6.788 3.846 6.425
-0.766 1.282 10.547
0.832 3.846 8.420
2.466 1.282 6.399
3.671 3.846 4.165
5.305 1.282 2.144
6.903 3.846 0.017
-2.199 3.846 9.536
0.725 3.846 2.079
-0.651 1.282 7.347
0.751 3.846 5.303
2.286 1.282 3.093
3.819 3.846 1.022
2.318 1.282 9.542
3.851 3.846 7.471
5.386 1.282 5.261
6.788 3.846 3.217
5.412 1.282 8.485
8.336 1.282 1.028
```

D(E_F) ... 6.92 states/eV/f.u.
Total energy ... -52.61 eV for the cell shown
Space-group type ... P2_1/m, No. 11
Total magnetic moment ... 0.00 μB/f.u.
Energy of formation ... -2.77 eV/f.u.

---

Record 2
Crystalline Tb12Tm3Cd at its relaxed geometry, computed with PBE.

Structure (POSCAR):
```
Tb12Tm3Cd
1.0
4.959 0.000 0.000
0.000 4.959 0.000
0.000 0.000 20.053
Tb Tm Cd
12 3 1
Cartesian
0.000 0.000 0.000
0.000 0.000 4.922
0.000 0.000 10.027
0.000 0.000 15.131
0.000 2.479 2.449
0.000 2.479 7.494
0.000 2.479 12.559
0.000 2.479 17.604
2.479 0.000 2.449
2.479 0.000 7.494
2.479 0.000 12.559
2.479 0.000 17.604
2.479 2.479 4.972
2.479 2.479 10.027
2.479 2.479 15.082
2.479 2.479 0.000
```

D(E_F) ... 21.73 states/eV/f.u.
Total energy ... -69.98 eV for the cell shown
Space-group type ... P4/mmm, No. 123
Total magnetic moment ... 0.00 μB/f.u.
Energy of formation ... -0.09 eV/f.u.